Record 1
Material: YMnHg
Method: DFT, PBE-GGA
State: relaxed

Calculated formation energy, eV per atom: -0.147
E, eV per atom: -5.459
DOS at the Fermi energy, states/eV/cell: 14.48
Spin magnetization, μB per formula unit: 0.00
Space-group type: R3m

Cell lengths 3.801, 3.801, 32.664 Å; angles 90.00, 90.00, 120.00 degrees
Sites, in units of the cell vectors:
Y1 0.000 0.000 0.774
Y2 0.333 0.667 0.440
Y3 0.667 0.333 0.107
Y4 0.000 0.000 0.648
Y5 0.333 0.667 0.315
Y6 0.667 0.333 0.982
Mn1 0.000 0.000 0.375
Mn2 0.333 0.667 0.042
Mn3 0.667 0.333 0.709
Mn4 0.000 0.000 0.047
Mn5 0.333 0.667 0.714
Mn6 0.667 0.333 0.381
Hg1 0.000 0.000 0.178
Hg2 0.333 0.667 0.845
Hg3 0.667 0.333 0.512
Hg4 0.000 0.000 0.911
Hg5 0.333 0.667 0.578
Hg6 0.667 0.333 0.244


Record 2
Material: Y4MnHg
Method: DFT, PBE-GGA
State: relaxed

Calculated formation energy, eV per atom: 0.549
E, eV per atom: -5.339
DOS at the Fermi energy, states/eV/cell: 5.82
Spin magnetization, μB per formula unit: 4.00
Space-group type: F-43m

Cell lengths 6.255, 6.255, 6.255 Å; angles 60.00, 60.00, 60.00 degrees
Site moments in Bohr magnetons follow the coordinates.
Sites, in units of the cell vectors:
Y1 0.876 0.375 0.375  -0.05
Y2 0.375 0.375 0.876  -0.05
Y3 0.375 0.876 0.375  -0.05
Y4 0.375 0.375 0.375  -0.05
Mn1 0.000 0.000 0.000  4.13
Hg1 0.750 0.750 0.750  -0.01


Record 3
Material: YMnHg3
Method: DFT, PBE-GGA
State: relaxed

Calculated formation energy, eV per atom: 0.825
E, eV per atom: -2.482
E above lowest polymorph, meV per atom: 591
DOS at the Fermi energy, states/eV/cell: 7.23
Spin magnetization, μB per formula unit: 4.37
Space-group type: Pm-3m

Cell lengths 5.771, 5.771, 5.771 Å; angles 90.00, 90.00, 90.00 degrees
Site moments in Bohr magnetons follow the coordinates.
Sites, in units of the cell vectors:
Y1 0.000 0.000 0.000  -0.15
Mn1 0.500 0.500 0.500  4.49
Hg1 0.000 0.500 0.000  -0.03
Hg2 0.000 0.000 0.500  -0.02
Hg3 0.500 0.000 0.000  -0.02


Record 4
Material: YMnHg4
Method: DFT, PBE-GGA
State: relaxed

Calculated formation energy, eV per atom: 0.173
E, eV per atom: -2.634
DOS at the Fermi energy, states/eV/cell: 5.11
Spin magnetization, μB per formula unit: 3.74
Space-group type: F-43m

Cell lengths 5.847, 5.847, 5.847 Å; angles 60.00, 60.00, 60.00 degrees
Site moments in Bohr magnetons follow the coordinates.
Sites, in units of the cell vectors:
Y1 0.000 0.000 0.000  -0.15
Mn1 0.750 0.750 0.750  4.02
Hg1 0.875 0.375 0.375  -0.03
Hg2 0.375 0.375 0.875  -0.03
Hg3 0.375 0.875 0.375  -0.03
Hg4 0.375 0.375 0.375  -0.03


Record 5
Material: YMnHg
Method: DFT, PBE-GGA
State: relaxed

Calculated formation energy, eV per atom: -0.061
E, eV per atom: -5.373
DOS at the Fermi energy, states/eV/cell: 3.46
Spin magnetization, μB per formula unit: 3.49
Space-group type: P-6m2

Cell lengths 4.706, 4.706, 3.565 Å; angles 90.00, 90.00, 120.00 degrees
Site moments in Bohr magnetons follow the coordinates.
Sites, in units of the cell vectors:
Hg1 0.000 0.000 0.166  -0.04
Mn1 0.667 0.333 0.167  3.68
Y1 0.333 0.667 0.667  -0.18


Record 6
Material: Y2MnHg
Method: DFT, PBE-GGA
State: relaxed

Calculated formation energy, eV per atom: 0.106
E, eV per atom: -5.494
DOS at the Fermi energy, states/eV/cell: 5.02
Spin magnetization, μB per formula unit: 2.87
Space-group type: F-43m

Cell lengths 5.049, 5.049, 5.049 Å; angles 60.00, 60.00, 60.00 degrees
Site moments in Bohr magnetons follow the coordinates.
Sites, in units of the cell vectors:
Hg1 0.500 0.500 0.500  -0.02
Mn1 0.750 0.750 0.750  3.48
Y1 0.000 0.000 0.000  -0.29
Y2 0.250 0.250 0.250  -0.29


Record 7
Material: YMnHg
Method: DFT, PBE-GGA
State: relaxed

Calculated formation energy, eV per atom: -0.059
E, eV per atom: -5.371
DOS at the Fermi energy, states/eV/cell: 10.38
Spin magnetization, μB per formula unit: 3.00
Space-group type: Ima2

Cell lengths 8.294, 4.637, 10.845 Å; angles 90.00, 139.85, 90.00 degrees
Site moments in Bohr magnetons follow the coordinates.
Sites, in units of the cell vectors:
Y1 0.496 0.000 0.755  -0.27
Y2 0.496 0.500 0.255  -0.27
Y3 0.115 0.000 0.255  -0.27
Y4 0.115 0.500 0.755  -0.27
Mn1 0.096 0.000 0.967  3.43
Mn2 0.096 0.500 0.467  3.43
Mn3 0.939 0.000 0.467  3.43
Mn4 0.939 0.500 0.967  3.43
Hg1 0.719 0.000 0.565  -0.03
Hg2 0.719 0.500 0.065  -0.03
Hg3 0.510 0.000 0.065  -0.03
Hg4 0.510 0.500 0.565  -0.03


Record 8
Material: Y2MnHg
Method: DFT, PBE-GGA
State: relaxed

Calculated formation energy, eV per atom: 0.060
E, eV per atom: -5.540
DOS at the Fermi energy, states/eV/cell: 3.62
Spin magnetization, μB per formula unit: 2.92
Space-group type: R-3m

Cell lengths 9.391, 9.391, 9.391 Å; angles 22.14, 22.14, 22.14 degrees
Site moments in Bohr magnetons follow the coordinates.
Sites, in units of the cell vectors:
Hg1 0.250 0.250 0.250  0.01
Mn1 0.750 0.750 0.750  3.48
Y1 0.004 0.004 0.004  -0.19
Y2 0.496 0.496 0.496  -0.19


Record 9
Material: YMnHg
Method: DFT, PBE-GGA
State: relaxed

Calculated formation energy, eV per atom: -0.016
E, eV per atom: -5.328
DOS at the Fermi energy, states/eV/cell: 3.50
Spin magnetization, μB per formula unit: 3.19
Space-group type: I4mm

Cell lengths 5.915, 5.915, 5.915 Å; angles 145.53, 145.53, 49.54 degrees
Site moments in Bohr magnetons follow the coordinates.
Sites, in units of the cell vectors:
Hg1 0.980 0.980 0.000  -0.02
Mn1 0.345 0.345 0.000  3.56
Y1 0.675 0.675 0.000  -0.30


Record 10
Material: YMnHg2
Method: DFT, PBE-GGA
State: relaxed

Calculated formation energy, eV per atom: 0.153
E, eV per atom: -3.906
DOS at the Fermi energy, states/eV/cell: 3.62
Spin magnetization, μB per formula unit: 3.12
Space-group type: R3m

Cell lengths 9.060, 9.060, 9.060 Å; angles 22.70, 22.70, 22.70 degrees
Site moments in Bohr magnetons follow the coordinates.
Sites, in units of the cell vectors:
Hg1 0.997 0.997 0.997  -0.02
Hg2 0.244 0.244 0.244  -0.01
Mn1 0.505 0.505 0.505  3.67
Y1 0.754 0.754 0.754  -0.34


Record 11
Material: YMnHg2
Method: DFT, PBE-GGA
State: relaxed

Calculated formation energy, eV per atom: 0.013
E, eV per atom: -4.046
DOS at the Fermi energy, states/eV/cell: 3.70
Spin magnetization, μB per formula unit: 3.91
Space-group type: Cm

Cell lengths 5.816, 5.816, 4.924 Å; angles 63.85, 63.85, 38.01 degrees
Site moments in Bohr magnetons follow the coordinates.
Sites, in units of the cell vectors:
Hg1 0.009 0.009 0.990  -0.01
Hg2 0.758 0.758 0.745  -0.01
Mn1 0.487 0.487 0.510  3.88
Y1 0.246 0.246 0.256  -0.10


Record 12
Material: Y2MnHg
Method: DFT, PBE-GGA
State: relaxed

Calculated formation energy, eV per atom: 0.017
E, eV per atom: -5.583
DOS at the Fermi energy, states/eV/cell: 4.76
Spin magnetization, μB per formula unit: 3.24
Space-group type: P4mm

Cell lengths 3.487, 3.487, 8.185 Å; angles 90.00, 90.00, 90.00 degrees
Site moments in Bohr magnetons follow the coordinates.
Sites, in units of the cell vectors:
Hg1 0.000 0.000 0.541  -0.03
Mn1 0.500 0.500 0.721  3.57
Y1 0.000 0.000 0.949  -0.29
Y2 0.500 0.500 0.289  0.06


Record 13
Material: Y2MnHg
Method: DFT, PBE-GGA
State: relaxed

Calculated formation energy, eV per atom: 0.171
E, eV per atom: -5.429
DOS at the Fermi energy, states/eV/cell: 4.09
Spin magnetization, μB per formula unit: 3.90
Space-group type: R3m

Cell lengths 9.940, 9.940, 9.940 Å; angles 20.35, 20.35, 20.35 degrees
Site moments in Bohr magnetons follow the coordinates.
Sites, in units of the cell vectors:
Hg1 0.491 0.491 0.491  0.03
Mn1 0.757 0.757 0.757  -3.72
Y1 0.010 0.010 0.010  0.12
Y2 0.242 0.242 0.242  -0.14


Record 14
Material: YMnHg2
Method: DFT, PBE-GGA
State: relaxed

Calculated formation energy, eV per atom: -0.092
E, eV per atom: -4.151
DOS at the Fermi energy, states/eV/cell: 2.56
Spin magnetization, μB per formula unit: 4.30
Space-group type: P4/mmm

Cell lengths 3.484, 3.492, 7.223 Å; angles 90.00, 90.00, 90.00 degrees
Site moments in Bohr magnetons follow the coordinates.
Sites, in units of the cell vectors:
Hg1 0.000 0.000 0.032  -0.02
Hg2 0.000 0.000 0.468  -0.02
Mn1 0.500 0.500 0.250  3.93
Y1 0.500 0.500 0.750  0.13